No. 1
# Er2Tl3, relaxed, DFT PBE
# - M_tot (μB/cell) = 0.1
# - energy of formation from the pure elements (eV/atom) = -0.228
# - energy above the lowest structure with this stoichiometry (eV/f.u.) = 0.00
# - D(E_F) (states/eV/cell) = 5.10
data_Er2Tl3
_cell_length_a 3.663
_cell_length_b 3.663
_cell_length_c 20.600
_cell_angle_alpha 90.00
_cell_angle_beta 90.00
_cell_angle_gamma 90.00
_symmetry_space_group_name_H-M 'P 4/m m m'
_symmetry_Int_Tables_number 123
_symmetry_space_group_name_Hall '-P 4 2'
loop_
_atom_site_label
_atom_site_fract_x
_atom_site_fract_y
_atom_site_fract_z
Er1 0.000 0.000 0.098
Er2 0.000 0.000 0.294
Tl1 0.000 0.000 0.500
Tl2 0.500 0.500 0.000
Tl3 0.500 0.500 0.196
Tl4 0.500 0.500 0.389



No. 2
# Er3Tl2, relaxed, DFT PBE
# - M_tot (μB/cell) = 0.3
# - energy of formation from the pure elements (eV/atom) = -0.262
# - energy above the lowest structure with this stoichiometry (eV/f.u.) = 0.00
# - D(E_F) (states/eV/cell) = 10.02
data_Er3Tl2
_cell_length_a 3.559
_cell_length_b 3.559
_cell_length_c 21.896
_cell_angle_alpha 90.00
_cell_angle_beta 90.00
_cell_angle_gamma 90.00
_symmetry_space_group_name_H-M 'I 4/m m m'
_symmetry_Int_Tables_number 139
_symmetry_space_group_name_Hall '-I 4 2'
loop_
_atom_site_label
_atom_site_fract_x
_atom_site_fract_y
_atom_site_fract_z
Er1 0.000 0.000 0.000
Er2 0.000 0.000 0.194
Tl1 0.000 0.000 0.403



No. 3
# ErTl3, relaxed, DFT PBE
# - M_tot (μB/cell) = 0.0
# - energy of formation from the pure elements (eV/atom) = -0.200
# - D(E_F) (states/eV/cell) = 0.86
data_ErTl3
_cell_length_a 4.754
_cell_length_b 4.754
_cell_length_c 4.754
_cell_angle_alpha 90.00
_cell_angle_beta 90.00
_cell_angle_gamma 90.00
_symmetry_space_group_name_H-M 'P m -3 m'
_symmetry_Int_Tables_number 221
_symmetry_space_group_name_Hall '-P 4 2 3'
loop_
_atom_site_label
_atom_site_fract_x
_atom_site_fract_y
_atom_site_fract_z
Er1 0.000 0.000 0.000
Tl1 0.000 0.500 0.500



No. 4
# ErTl, relaxed, DFT PBE
# - M_tot (μB/cell) = 0.2
# - energy of formation from the pure elements (eV/atom) = -0.013
# - D(E_F) (states/eV/cell) = 17.24
data_ErTl
_cell_length_a 6.223
_cell_length_b 6.223
_cell_length_c 6.223
_cell_angle_alpha 90.00
_cell_angle_beta 90.00
_cell_angle_gamma 90.00
_symmetry_space_group_name_H-M 'F m -3 m'
_symmetry_Int_Tables_number 225
_symmetry_space_group_name_Hall '-F 4 2 3'
loop_
_atom_site_label
_atom_site_fract_x
_atom_site_fract_y
_atom_site_fract_z
Er1 0.000 0.000 0.000
Tl1 0.000 0.000 0.500



No. 5
# Er3TmTl5, relaxed, DFT PBE
# - M_tot (μB/cell) = 0.0
# - energy of formation from the pure elements (eV/atom) = -0.265
# - D(E_F) (states/eV/cell) = 14.60
data_Er3TmTl5
_cell_length_a 9.2713
_cell_length_b 9.2713
_cell_length_c 6.5469
_cell_angle_alpha 90.00
_cell_angle_beta 90.00
_cell_angle_gamma 120.00
_symmetry_space_group_name_H-M 'P 63/m c m'
_symmetry_Int_Tables_number 193
_symmetry_space_group_name_Hall '-P 6c 2'
loop_
_atom_site_label
_atom_site_fract_x
_atom_site_fract_y
_atom_site_fract_z
Er1 0.0000 0.3686 0.2500
Tm1 0.0000 0.0000 0.0000
Tl1 0.0000 0.2980 0.7500
Tl2 0.3333 0.6667 0.0000



No. 6
# Er3Tm2Tl3, relaxed, DFT PBE
# - M_tot (μB/cell) = 0.0
# - energy of formation from the pure elements (eV/atom) = -0.251
# - D(E_F) (states/eV/cell) = 14.04
data_Er3Tm2Tl3
_cell_length_a 3.729
_cell_length_b 5.325
_cell_length_c 22.337
_cell_angle_alpha 90.00
_cell_angle_beta 90.00
_cell_angle_gamma 90.00
_symmetry_space_group_name_H-M 'I m m m'
_symmetry_Int_Tables_number 71
_symmetry_space_group_name_Hall '-I 2 2'
loop_
_atom_site_label
_atom_site_fract_x
_atom_site_fract_y
_atom_site_fract_z
Er1 0.000 0.000 0.000
Er2 0.000 0.500 0.127
Tm1 0.000 0.000 0.236
Tl1 0.000 0.000 0.500
Tl2 0.000 0.500 0.380



No. 7
# Er4Tm9Tl11, relaxed, DFT PBE
# - M_tot (μB/cell) = 0.0
# - energy of formation from the pure elements (eV/atom) = -0.225
# - D(E_F) (states/eV/cell) = 40.29
data_Er4Tm9Tl11
_cell_length_a 16.017
_cell_length_b 22.787
_cell_length_c 3.544
_cell_angle_alpha 90.00
_cell_angle_beta 90.00
_cell_angle_gamma 90.00
_symmetry_space_group_name_H-M 'C m m m'
_symmetry_Int_Tables_number 65
_symmetry_space_group_name_Hall '-C 2 2'
loop_
_atom_site_label
_atom_site_fract_x
_atom_site_fract_y
_atom_site_fract_z
Er1 0.167 0.081 0.000
Tm1 0.000 0.000 0.000
Tm2 0.109 0.406 0.000
Tm3 0.113 0.227 0.000
Tl1 0.000 0.123 0.500
Tl2 0.000 0.313 0.500
Tl3 0.000 0.500 0.500
Tl4 0.212 0.500 0.500
Tl5 0.230 0.320 0.500



No. 8
# Er2TmTl3, relaxed, DFT PBE
# - M_tot (μB/cell) = 0.0
# - energy of formation from the pure elements (eV/atom) = -0.311
# - D(E_F) (states/eV/cell) = 4.18
data_Er2TmTl3
_cell_length_a 3.624
_cell_length_b 3.624
_cell_length_c 12.203
_cell_angle_alpha 90.00
_cell_angle_beta 90.00
_cell_angle_gamma 90.00
_symmetry_space_group_name_H-M 'P 4/m m m'
_symmetry_Int_Tables_number 123
_symmetry_space_group_name_Hall '-P 4 2'
loop_
_atom_site_label
_atom_site_fract_x
_atom_site_fract_y
_atom_site_fract_z
Er1 0.000 0.000 0.167
Tm1 0.000 0.000 0.500
Tl1 0.500 0.500 0.000
Tl2 0.500 0.500 0.334



No. 9
# Er4Tm3Tl, relaxed, DFT PBE
# - M_tot (μB/cell) = 0.0
# - energy of formation from the pure elements (eV/atom) = -0.065
# - D(E_F) (states/eV/cell) = 20.80
data_Er4Tm3Tl
_cell_length_a 11.075
_cell_length_b 6.932
_cell_length_c 6.099
_cell_angle_alpha 90.00
_cell_angle_beta 90.00
_cell_angle_gamma 90.00
_symmetry_space_group_name_H-M 'P m n 21'
_symmetry_Int_Tables_number 31
loop_
_symmetry_equiv_pos_as_xyz
'x,y,z'
'-x+1/2,-y,z+1/2'
'-x,y,z'
'x+1/2,-y,z+1/2'
loop_
_atom_site_label
_atom_site_fract_x
_atom_site_fract_y
_atom_site_fract_z
Er1 0.000 0.127 0.000
Er2 0.000 0.870 0.471
Er3 0.240 0.874 0.827
Tm1 0.000 0.369 0.472
Tm2 0.244 0.383 0.806
Tl1 0.000 0.620 0.985



No. 10
# Er4Tm3Tl2, relaxed, DFT PBE
# - M_tot (μB/cell) = 0.0
# - energy of formation from the pure elements (eV/atom) = -0.150
# - D(E_F) (states/eV/cell) = 19.49
data_Er4Tm3Tl2
_cell_length_a 11.931
_cell_length_b 5.325
_cell_length_c 10.102
_cell_angle_alpha 90.00
_cell_angle_beta 125.96
_cell_angle_gamma 90.00
_symmetry_space_group_name_H-M 'C 1 2/m 1'
_symmetry_Int_Tables_number 12
loop_
_symmetry_equiv_pos_as_xyz
'x,y,z'
'-x,-y,-z'
'-x,y,-z'
'x,-y,z'
'x+1/2,y+1/2,z'
'-x+1/2,-y+1/2,-z'
'-x+1/2,y+1/2,-z'
'x+1/2,-y+1/2,z'
loop_
_atom_site_label
_atom_site_fract_x
_atom_site_fract_y
_atom_site_fract_z
Er1 0.098 0.000 0.429
Er2 0.234 0.500 0.083
Tm1 0.000 0.000 0.000
Tm2 0.146 0.500 0.678
Tl1 0.084 0.500 0.253



No. 11
# ErTm6Tl2, relaxed, DFT PBE
# - M_tot (μB/cell) = 0.0
# - energy of formation from the pure elements (eV/atom) = -0.144
# - D(E_F) (states/eV/cell) = 20.17
data_ErTm6Tl2
_cell_length_a 12.567
_cell_length_b 3.694
_cell_length_c 11.814
_cell_angle_alpha 90.00
_cell_angle_beta 108.26
_cell_angle_gamma 90.00
_symmetry_space_group_name_H-M 'C 1 2/m 1'
_symmetry_Int_Tables_number 12
loop_
_symmetry_equiv_pos_as_xyz
'x,y,z'
'-x,-y,-z'
'-x,y,-z'
'x,-y,z'
'x+1/2,y+1/2,z'
'-x+1/2,-y+1/2,-z'
'-x+1/2,y+1/2,-z'
'x+1/2,-y+1/2,z'
loop_
_atom_site_label
_atom_site_fract_x
_atom_site_fract_y
_atom_site_fract_z
Er1 0.000 0.000 0.000
Tm1 0.014 0.000 0.345
Tm2 0.183 0.500 0.876
Tm3 0.188 0.500 0.583
Tl1 0.143 0.500 0.207



No. 12
# ErTm2Tl, relaxed, DFT PBE
# - M_tot (μB/cell) = 0.0
# - energy of formation from the pure elements (eV/atom) = -0.107
# - energy above the lowest structure with this stoichiometry (eV/f.u.) = 0.22
# - D(E_F) (states/eV/cell) = 11.57
data_ErTm2Tl
_cell_length_a 3.5133
_cell_length_b 3.5133
_cell_length_c 32.7426
_cell_angle_alpha 90.00
_cell_angle_beta 90.00
_cell_angle_gamma 120.00
_symmetry_space_group_name_H-M 'R -3 m'
_symmetry_Int_Tables_number 166
_symmetry_space_group_name_Hall '-R 3 2"'
loop_
_atom_site_label
_atom_site_fract_x
_atom_site_fract_y
_atom_site_fract_z
Er1 0.0000 0.0000 0.0000
Tm1 0.0000 0.0000 0.2469
Tl1 0.0000 0.0000 0.5000